Compound: Ba2Cu3S4Cl2
Source: OQMD
Functional: GGA-PBE
Structure: optimized geometry

Output
* VASP energy: -4.265 eV per atom
* crystal system: tetragonal

The structure in extended XYZ format:
```
11
Lattice="-3.220 3.220 6.361 3.220 -3.220 6.361 3.220 3.220 -6.361" Properties=species:S:1:pos:R:3 pbc="T T T"
Ba 0.000 0.000 2.334
Ba 0.000 0.000 10.388
Cu 3.220 0.000 0.000
Cu 0.000 3.220 0.000
Cu 0.000 0.000 6.361
S 1.632 1.632 0.000
S 1.587 -1.587 6.361
S -1.587 1.587 6.361
S 1.587 1.587 6.361
Cl 3.220 0.000 3.181
Cl 0.000 3.220 3.181
```